VASP calculation (PBE) on a geometry-optimized BaTc8 structure.

For the total energy, the calculation gives -0.666 Ry/atom. As for the formation energy: 0.36 eV/atom. The density of states at the Fermi level is 0.75 states/eV per atom.

Geometry as CIF:
```
data_BaTc8
_cell_length_a 8.626
_cell_length_b 8.626
_cell_length_c 4.155
_cell_angle_alpha 90.00
_cell_angle_beta 90.00
_cell_angle_gamma 90.00
_space_group_name_H-M_alt 'I 4/m m m'
_space_group_IT_number 139
_space_group_name_Hall '-I 4 2'
loop_
_atom_site_label
_atom_site_type_symbol
_atom_site_fract_x
_atom_site_fract_y
_atom_site_fract_z
_atom_site_occupancy
Ba1 Ba 0.000 0.000 0.000 1
Tc1 Tc 0.000 0.358 0.000 1
Tc2 Tc 0.197 0.197 0.500 1
```



VASP calculation (PBE) on a geometry-optimized BaTc structure.

As for the energy above the lowest structure with this stoichiometry: 110.9 kJ per mole of atoms. For the total energy, the calculation gives -0.344 Ry/atom. As for the formation energy: 1.47 eV/atom. The density of states at the Fermi level is 1.53 states/eV per atom.

Geometry as CIF:
```
data_BaTc
_cell_length_a 3.620
_cell_length_b 5.401
_cell_length_c 5.047
_cell_angle_alpha 90.00
_cell_angle_beta 97.33
_cell_angle_gamma 90.00
_space_group_name_H-M_alt 'C 1 2/m 1'
_space_group_IT_number 12
loop_
_space_group_symop_operation_xyz
'x,y,z'
'-x,-y,-z'
'-x,y,-z'
'x,-y,z'
'x+1/2,y+1/2,z'
'-x+1/2,-y+1/2,-z'
'-x+1/2,y+1/2,-z'
'x+1/2,-y+1/2,z'
loop_
_atom_site_label
_atom_site_type_symbol
_atom_site_fract_x
_atom_site_fract_y
_atom_site_fract_z
_atom_site_occupancy
Ba1 Ba 0.000 0.000 0.000 1
Tc1 Tc 0.000 0.500 0.500 1
```



VASP calculation (PBE) on a geometry-optimized Ba5Tc structure.

As for the energy above the lowest structure with this stoichiometry: 51.5 kJ per mole of atoms. For the total energy, the calculation gives -0.173 Ry/atom. As for the formation energy: 0.97 eV/atom. The density of states at the Fermi level is 2.14 states/eV per atom.

Geometry as CIF:
```
data_Ba5Tc
_cell_length_a 10.786
_cell_length_b 10.786
_cell_length_c 10.786
_cell_angle_alpha 90.00
_cell_angle_beta 90.00
_cell_angle_gamma 90.00
_space_group_name_H-M_alt 'F -4 3 m'
_space_group_IT_number 216
_space_group_name_Hall 'F -4 2 3'
loop_
_atom_site_label
_atom_site_type_symbol
_atom_site_fract_x
_atom_site_fract_y
_atom_site_fract_z
_atom_site_occupancy
Ba1 Ba 0.000 0.000 0.000 1
Ba2 Ba 0.123 0.123 0.623 1
Tc1 Tc 0.250 0.250 0.250 1
```



VASP calculation (PBE) on a geometry-optimized BaTc structure.

As for the energy above the lowest structure with this stoichiometry: 115.3 kJ per mole of atoms. For the total energy, the calculation gives -0.340 Ry/atom. As for the formation energy: 1.52 eV/atom. The density of states at the Fermi level is 1.15 states/eV per atom.

Geometry as CIF:
```
data_BaTc
_cell_length_a 3.4590
_cell_length_b 3.4590
_cell_length_c 15.2142
_cell_angle_alpha 90.00
_cell_angle_beta 90.00
_cell_angle_gamma 120.00
_space_group_name_H-M_alt 'R -3 m'
_space_group_IT_number 166
_space_group_name_Hall '-R 3 2"'
loop_
_atom_site_label
_atom_site_type_symbol
_atom_site_fract_x
_atom_site_fract_y
_atom_site_fract_z
_atom_site_occupancy
Ba1 Ba 0.0000 0.0000 0.0000 1
Tc1 Tc 0.0000 0.0000 0.5000 1
```